The following is a PBE calculation of a geometry-optimized Cu2PtAu6 structure, from the Alexandria database.

Calculated values
energy relative to the elements: 0.0 eV per formula unit
E_tot: -3.770 eV/atom
density of states at the Fermi level: 0.2812 states/eV per atom
space group: C2/m, No. 12
energy above the lowest structure with this stoichiometry: 0 kJ/mol of formula units
size of the total moment: 0.00 μB per formula unit

Structure (POSCAR):
```
Cu2PtAu6
1.0
4.573 -2.038 0.000
4.573 2.038 0.000
-3.199 0.000 7.983
Cu Pt Au
2 1 6
Cartesian
1.271 0.000 0.449
4.677 0.000 7.534
2.974 0.000 3.992
0.251 0.000 3.061
-0.714 0.000 5.899
3.905 0.000 1.216
2.043 0.000 6.768
6.661 0.000 2.084
5.697 0.000 4.923
```